Entry 1:
The following is a PBE calculation of a geometry-optimized CaAlAu3 structure, from the Alexandria database.

The structure in extended XYZ format:
```
5
Lattice="-4.898 -0.196 0.142 0.065 -3.841 -3.048 0.233 -3.042 3.839" Properties=species:S:1:pos:R:3 pbc="T T T"
Al 0.000 0.000 0.000
Au 0.117 -1.521 1.919
Au 0.033 -1.920 -1.524
Au -2.449 -0.098 0.071
Ca -2.300 -3.540 0.467
```

The calculation puts the total energy at -17.51 eV for the cell shown. Its formation energy is -386 meV/atom. The density of states at the Fermi level is 0.3847 states/eV per atom. The energy above the most stable polymorph in this dataset is 192 meV per atom. The total magnetization comes out at 0.00 μB per formula unit.

Entry 2:
The following is a PBE calculation of a geometry-optimized Ca2Al7Au structure, from the Alexandria database.

The structure in extended XYZ format:
```
10
Lattice="-2.709 -3.111 1.117 2.973 -2.924 -0.936 3.847 0.490 10.694" Properties=species:S:1:pos:R:3 pbc="T T T"
Al 0.028 -1.380 4.399
Al 1.924 0.245 5.347
Al 2.056 -2.773 5.438
Al 4.820 -1.037 8.796
Al -0.840 -1.490 1.988
Al 3.952 -1.148 6.385
Al 0.000 0.000 0.000
Ca 2.426 -1.342 2.143
Ca 1.554 -1.185 8.641
Au 0.132 -3.018 0.091
```

The calculation puts the total energy at -36.65 eV for the cell shown. Its formation energy is -317 meV/atom. The density of states at the Fermi level is 0.0960 states/eV per atom. The total magnetization comes out at 0.00 μB per formula unit.

Entry 3:
The following is a PBE calculation of a geometry-optimized Ca3Al2Au7 structure, from the Alexandria database.

The structure in extended XYZ format:
```
12
Lattice="-3.331 2.739 -0.158 -0.568 -0.931 -4.175 -6.744 -11.274 5.663" Properties=species:S:1:pos:R:3 pbc="T T T"
Ca -4.979 -2.710 -0.948
Ca -1.949 0.904 -2.166
Ca -5.664 -6.757 2.278
Au 0.000 0.000 0.000
Au -1.663 -2.111 -1.533
Au -7.599 -9.191 0.855
Au -6.862 -4.956 -0.190
Au -8.980 -7.356 2.863
Au -3.781 -4.510 1.521
Au -3.044 -0.275 0.476
Al -2.223 -2.652 0.894
Al -8.420 -6.814 0.436
```

The calculation puts the total energy at -43.38 eV for the cell shown. Its formation energy is -579 meV/atom. The density of states at the Fermi level is 0.3828 states/eV per atom. The energy above the most stable polymorph in this dataset is 15 meV per atom. The total magnetization comes out at 0.00 μB per formula unit.

Entry 4:
The following is a PBE calculation of a geometry-optimized CaAl4Au2 structure, from the Alexandria database.

The structure in extended XYZ format:
```
28
Lattice="-1.120 -3.494 -2.357 5.592 0.996 -4.134 9.437 -10.007 10.353" Properties=species:S:1:pos:R:3 pbc="T T T"
Al 7.430 -7.733 1.882
Al 7.678 -7.504 5.460
Al 4.032 -5.423 0.072
Al 6.479 -4.772 1.980
Al 6.231 -5.001 -1.599
Al 8.716 -10.218 8.991
Al 2.071 -0.870 -1.711
Al 9.878 -7.082 3.790
Al 11.838 -11.635 5.573
Al 5.193 -2.287 -5.129
Al 8.355 -6.411 -0.517
Al 5.555 -6.094 4.378
Al 11.073 -9.982 3.486
Al 6.180 -1.897 -2.142
Al 2.836 -2.523 0.376
Al 7.729 -10.608 6.003
Au 9.647 -12.002 7.158
Au 12.479 -7.770 3.573
Au 8.471 -9.325 3.748
Au 1.431 -4.735 0.288
Au 4.262 -0.503 -3.297
Au 5.438 -3.180 0.114
Au 4.916 -7.001 1.991
Au 8.993 -5.505 1.871
Ca 10.665 -8.072 0.848
Ca 10.472 -8.990 6.335
Ca 3.438 -3.516 -2.473
Ca 3.245 -4.433 3.013
```

The calculation puts the total energy at -108.35 eV for the cell shown. Its formation energy is -509 meV/atom. The density of states at the Fermi level is 0.2203 states/eV per atom. The total magnetization comes out at 0.00 μB per formula unit.